The following is a DFT calculation (PBE) of Tb3Ni8Pt after structural relaxation.

a = 4.9929 Å, b = 4.9929 Å, c = 8.6776 Å
α = 73.28°, β = 73.28°, γ = 60.00°
Fractional coordinates of all 12 atoms:
Ni 0.9377 0.4410 0.6836
Ni 0.4410 0.9377 0.6836
Ni 0.4362 0.9412 0.1865
Ni 0.1878 0.1878 0.4366
Ni 0.6879 0.6879 0.9362
Pt 0.8699 0.8699 0.3903
Ni 0.4362 0.4362 0.1865
Tb 0.3772 0.3772 0.8684
Tb 0.9891 0.9891 0.0326
Ni 0.9412 0.4362 0.1865
Ni 0.9377 0.9377 0.6836
Tb 0.5081 0.5081 0.4758

Fermi-level density of states in states/eV per cell: 14.0
Space group: R3m, No. 160
Magnetization in μB/cell: 0.0
Theoretical density in g/cm3: 10.7
E_form in eV per atom: -0.44